Entry 1:
The following is a DFT calculation (PBE-GGA) of crystalline KBP3 at its relaxed geometry.

Output
formation energy from the elements: 792.8 meV per atom
energy relative to the lowest polymorph listed for this composition: 0.000 eV/atom
density: 2.7 g/cm3

Structure (POSCAR):
```
KBP3
1.0
4.4254 0.0000 0.0000
0.0000 4.4254 0.0000
0.0000 0.0000 4.4254
K B P
1 1 3
direct
0.0000 0.0000 0.0000
0.5000 0.5000 0.5000
0.0000 0.5000 0.5000
0.5000 0.0000 0.5000
0.5000 0.5000 0.0000
```

=====

Entry 2:
The following is a DFT calculation (PBE-GGA) of crystalline Ba2SrSi at its relaxed geometry.

Output
E_form (uncorrected): -126 meV per atom
density: 3.6 g/cm3

Structure (POSCAR):
```
Ba2SrSi
1.0
4.0477 0.0000 0.0000
0.0000 5.8962 0.0000
0.0000 0.0000 15.1783
Ba Sr Si
4 2 2
direct
0.0000 0.0000 0.0000
0.0000 0.5000 0.1636
0.5000 0.0000 0.6636
0.5000 0.5000 0.5000
0.0000 0.0000 0.3325
0.5000 0.5000 0.8325
0.0000 0.5000 0.6707
0.5000 0.0000 0.1707
```

=====

Entry 3:
The following is a DFT calculation (PBE-GGA) of crystalline LiSi2Hg at its relaxed geometry.

Output
E_form (uncorrected): 117 meV per atom
density: 5.8 g/cm3

Structure (POSCAR):
```
LiSi2Hg
1.0
9.0118 0.0000 0.0000
0.0000 3.7587 0.0000
-0.0739 0.0000 4.4663
Li Si Hg
2 4 2
direct
0.0000 0.0000 0.0000
0.5000 0.5000 0.0000
0.2310 0.5000 0.8438
0.2690 0.0000 0.1562
0.7310 0.0000 0.8438
0.7690 0.5000 0.1562
0.0000 0.5000 0.5000
0.5000 0.0000 0.5000
```

=====

Entry 4:
The following is a DFT calculation (PBE-GGA) of crystalline SmHoZr at its relaxed geometry.

Output
formation energy from the elements: 131.4 meV per atom
energy relative to the lowest polymorph listed for this composition: 0.040 eV/atom
density: 7.9 g/cm3

Structure (POSCAR):
```
SmHoZr
1.0
3.3728 0.0000 0.0000
0.0000 4.9175 0.0000
-1.6717 0.0000 10.3185
Sm Ho Zr
2 2 2
direct
0.0509 0.2500 0.0996
0.9491 0.7500 0.9004
0.3663 0.2500 0.7323
0.6337 0.7500 0.2677
0.2135 0.2500 0.4276
0.7865 0.7500 0.5724
```

=====

Entry 5:
The following is a DFT calculation (PBE-GGA) of crystalline MgSc2Br at its relaxed geometry.

Output
E_form (uncorrected): -182 meV per atom
energy relative to the lowest polymorph listed for this composition: 0.224 eV/atom
density: 3.5 g/cm3

Structure (POSCAR):
```
MgSc2Br
1.0
6.5709 0.0000 0.0000
0.0000 8.3894 0.0000
-0.0080 0.0000 3.3339
Mg Sc Br
2 4 2
direct
0.0000 0.0000 0.0000
0.5000 0.5000 0.0000
0.2500 0.2500 0.5000
0.2500 0.7500 0.5000
0.7500 0.2500 0.5000
0.7500 0.7500 0.5000
0.0000 0.5000 0.0000
0.5000 0.0000 0.0000
```

=====

Entry 6:
The following is a DFT calculation (PBE-GGA) of crystalline Tl4InSb at its relaxed geometry.

Output
E_form (uncorrected): 57 meV per atom
energy relative to the lowest polymorph listed for this composition: 0.000 eV/atom
density: 9.3 g/cm3

Structure (POSCAR):
```
Tl4InSb
1.0
2.2514 -11.5238 0.0000
2.2514 11.5238 0.0000
0.0000 0.0000 7.2929
Tl In Sb
8 2 2
direct
0.0000 0.0000 0.0000
0.0000 0.0000 0.5000
0.1597 0.8403 0.5154
0.1597 0.8403 0.9846
0.4244 0.5756 0.7500
0.5756 0.4244 0.2500
0.8403 0.1597 0.0154
0.8403 0.1597 0.4846
0.2767 0.7233 0.7500
0.7233 0.2767 0.2500
0.4115 0.5885 0.2500
0.5885 0.4115 0.7500
```

=====

Entry 7:
The following is a DFT calculation (PBE-GGA) of crystalline Cs2MgCl6O at its relaxed geometry.

Output
E_form (uncorrected): -1074 meV per atom
density: 3.0 g/cm3

Structure (POSCAR):
```
Cs2MgCl6O
1.0
-3.4661 3.4661 5.9364
3.4661 -3.4661 5.9364
3.4661 3.4661 -5.9364
Cs Mg Cl O
2 1 6 1
direct
0.2500 0.7500 0.5000
0.7500 0.2500 0.5000
0.0000 0.0000 0.0000
0.1957 0.1957 0.0000
0.2789 0.2789 0.5578
0.2789 0.7211 0.0000
0.7211 0.2789 0.0000
0.7211 0.7211 0.4422
0.8043 0.8043 0.0000
0.5000 0.5000 0.0000
```